Entry 1:
# Er2ZrSe5, relaxed, DFT PBE
data_Er2ZrSe5
_symmetry_space_group_name_H-M 'P 1'
_symmetry_Int_Tables_number 1
_symmetry_space_group_name_Hall 'P 1'
_cell_length_a 5.4841
_cell_length_b 7.2583
_cell_length_c 13.2711
_cell_angle_alpha 90.00
_cell_angle_beta 90.00
_cell_angle_gamma 112.20
loop_
_atom_site_label
_atom_site_type_symbol
_atom_site_fract_x
_atom_site_fract_y
_atom_site_fract_z
Se1 Se 0.2585 0.5169 0.7500
Se2 Se 0.3171 0.6342 0.4207
Se3 Se 0.9524 0.9047 0.8768
Se4 Se 0.9524 0.9047 0.6232
Se5 Se 0.7415 0.4831 0.2500
Se6 Se 0.6829 0.3658 0.9207
Se7 Se 0.0476 0.0953 0.1232
Se8 Se 0.3171 0.6342 0.0793
Se9 Se 0.6829 0.3658 0.5793
Se10 Se 0.0476 0.0953 0.3768
Er1 Er 0.8506 0.7012 0.4414
Er2 Er 0.1494 0.2988 0.9414
Er3 Er 0.1494 0.2988 0.5586
Er4 Er 0.8506 0.7012 0.0586
Zr1 Zr 0.8048 0.6096 0.7500
Zr2 Zr 0.1952 0.3904 0.2500
# * electronic total energy: -95.5 eV/cell
# * size of the total moment: 0.00 μB per cell
# * space group: No. 63

Entry 2:
# NaPm3P, relaxed, DFT PBE
data_NaPm3P
_symmetry_space_group_name_H-M 'P 1'
_symmetry_Int_Tables_number 1
_symmetry_space_group_name_Hall 'P 1'
_cell_length_a 5.5741
_cell_length_b 5.5741
_cell_length_c 5.5741
_cell_angle_alpha 90.00
_cell_angle_beta 90.00
_cell_angle_gamma 90.00
loop_
_atom_site_label
_atom_site_type_symbol
_atom_site_fract_x
_atom_site_fract_y
_atom_site_fract_z
P1 P 0.0000 0.0000 0.0000
Pm1 Pm 0.0000 0.0000 0.5000
Pm2 Pm 0.0000 0.5000 0.0000
Pm3 Pm 0.5000 0.0000 0.0000
Na1 Na 0.5000 0.5000 0.5000
# * Fermi-level density of states: 1.794 states/eV/atom
# * size of the total moment: 0.00 μB per cell
# * space group: No. 221
# * energy of formation: -0.333 eV per atom